VASP calculation (PBE) on a relaxed Th2TaC3 crystal.

Summary:
The calculation puts the offset from the most stable computed form at 0 meV/atom. The value obtained for the raw total energy is -9.347 eV/atom. The value obtained for the formation energy is -0.286 eV per atom.

a b c (Å): 6.425 6.425 12.584
angles (deg): 91.46 91.46 126.49
Sites, in units of the cell vectors:
Th (0.028, 0.433, 0.853)
Th (0.117, 0.339, 0.426)
Th (0.339, 0.117, 0.926)
Th (0.433, 0.028, 0.353)
Th (0.567, 0.972, 0.647)
Th (0.661, 0.883, 0.074)
Th (0.883, 0.661, 0.574)
Th (0.972, 0.567, 0.147)
Ta (0.292, 0.293, 0.169)
Ta (0.293, 0.292, 0.669)
Ta (0.707, 0.708, 0.331)
Ta (0.708, 0.707, 0.831)
C (0.005, 0.995, 0.250)
C (0.114, 0.315, 0.037)
C (0.148, 0.501, 0.621)
C (0.315, 0.114, 0.537)
C (0.369, 0.631, 0.250)
C (0.499, 0.852, 0.879)
C (0.501, 0.148, 0.121)
C (0.631, 0.369, 0.750)
C (0.685, 0.886, 0.463)
C (0.852, 0.499, 0.379)
C (0.886, 0.685, 0.963)
C (0.995, 0.005, 0.750)

***

VASP calculation (PBE) on a relaxed Er2SnC crystal.

Summary:
The value obtained for the raw total energy is -6.164 eV/atom. The value obtained for the formation energy is -0.575 eV per atom.

a b c (Å): 8.112 8.112 8.112
angles (deg): 25.56 25.56 25.56
Sites, in units of the cell vectors:
Er (0.223, 0.223, 0.223)
Er (0.777, 0.777, 0.777)
Sn (0.000, 0.000, 0.000)
C (0.500, 0.500, 0.500)

***

VASP calculation (PBE) on a relaxed ScCdGe crystal.

Summary:
The value obtained for the raw total energy is -4.375 eV/atom. The value obtained for the formation energy is -0.420 eV per atom.

a b c (Å): 5.523 5.523 6.973
angles (deg): 120.59 120.59 43.63
Sites, in units of the cell vectors:
Sc (0.075, 0.075, 0.341)
Sc (0.925, 0.925, 0.659)
Cd (0.342, 0.342, 0.930)
Cd (0.658, 0.658, 0.070)
Ge (0.353, 0.353, 0.339)
Ge (0.647, 0.647, 0.661)

***

VASP calculation (PBE) on a relaxed HPdPt2Pb crystal.

Summary:
The value obtained for the raw total energy is -4.927 eV/atom.

a b c (Å): 4.069 4.069 4.426
angles (deg): 90.00 90.00 90.00
Sites, in units of the cell vectors:
H (0.000, 0.000, 0.000)
Pd (0.000, 0.000, 0.500)
Pt (0.000, 0.500, 0.000)
Pt (0.500, 0.000, 0.000)
Pb (0.500, 0.500, 0.500)

***

VASP calculation (PBE) on a relaxed BaBeRh crystal.

Summary:
The calculation puts the offset from the most stable computed form at 226 meV/atom. The value obtained for the raw total energy is -4.465 eV/atom. The value obtained for the formation energy is -0.131 eV per atom.

a b c (Å): 4.001 4.001 4.888
angles (deg): 90.00 90.00 120.00
Sites, in units of the cell vectors:
Ba (0.000, 0.000, 0.000)
Be (0.667, 0.333, 0.500)
Rh (0.333, 0.667, 0.500)

***

VASP calculation (PBE) on a relaxed HgRuPb2 crystal.

Summary:
The value obtained for the raw total energy is -3.634 eV/atom. The value obtained for the formation energy is 0.615 eV per atom.

a b c (Å): 3.653 4.750 5.362
angles (deg): 90.00 90.00 90.00
Sites, in units of the cell vectors:
Hg (0.000, 0.000, 0.000)
Ru (0.500, 0.000, 0.500)
Pb (0.000, 0.500, 0.500)
Pb (0.500, 0.500, 0.000)

***

VASP calculation (PBE) on a relaxed PaI2Cl2 crystal.

Summary:
Its uncorrected formation energy is -6.9 eV per formula unit. The value obtained for the raw total energy is -4.634 eV/atom.

a b c (Å): 7.192 7.192 4.425
angles (deg): 90.21 90.21 90.43
Sites, in units of the cell vectors:
Pa (0.000, 0.000, 0.000)
I (0.216, 0.216, 0.503)
I (0.784, 0.784, 0.497)
Cl (0.248, 0.752, 0.000)
Cl (0.752, 0.248, 0.000)

***

VASP calculation (PBE) on a relaxed ScAlRe2 crystal.

Summary:
The value obtained for the raw total energy is -8.633 eV/atom. The value obtained for the formation energy is 0.109 eV per atom.

a b c (Å): 4.998 4.998 2.803
angles (deg): 90.00 90.00 113.60
Sites, in units of the cell vectors:
Sc (0.000, 0.000, 0.000)
Al (0.500, 0.500, 0.000)
Re (0.000, 0.500, 0.500)
Re (0.500, 0.000, 0.500)

***

VASP calculation (PBE) on a relaxed MgAg2Sn2 crystal.

Summary:
The calculation puts the offset from the most stable computed form at 94 meV/atom. The value obtained for the raw total energy is -2.956 eV/atom. The value obtained for the formation energy is 0.105 eV per atom.

a b c (Å): 7.435 7.435 7.435
angles (deg): 147.01 147.01 47.34
Sites, in units of the cell vectors:
Mg (0.000, 0.000, 0.000)
Ag (0.403, 0.403, 0.000)
Ag (0.597, 0.597, 0.000)
Sn (0.250, 0.750, 0.500)
Sn (0.750, 0.250, 0.500)

***

VASP calculation (PBE) on a relaxed ZrTc2Ir crystal.

Summary:
The calculation puts the offset from the most stable computed form at 342 meV/atom. The value obtained for the raw total energy is -9.375 eV/atom. The value obtained for the formation energy is 0.160 eV per atom.

a b c (Å): 9.687 9.687 9.687
angles (deg): 16.64 16.64 16.64
Sites, in units of the cell vectors:
Zr (0.000, 0.000, 0.000)
Tc (0.243, 0.243, 0.243)
Tc (0.757, 0.757, 0.757)
Ir (0.500, 0.500, 0.500)